Below is an optimized crystal structure of SmTeAuO, with properties calculated at the PBE level.

abc: 4.099 4.099 10.036
angles: 90.00 90.00 90.00
Space group P4/nmm (No. 129, origin choice 2)
Unique sites:
Sm  0.250  0.250  0.112 x2
Te  0.250  0.250  0.710 x2
Au  0.250  0.750  0.500 x2
O  0.250  0.750  0.000 x2

Its magnetization is 0.0 Bohr magnetons per cell. The value obtained for the excess energy over the best structure of this formula in the dataset is 40.4 meV per atom.